Run i
VASP calculation (GGA-PBEsol) on a relaxed KTl5 crystal.

Structure (POSCAR):
```
KTl5
1.0
4.947 0.000 0.000
0.000 14.281 0.000
0.000 0.000 4.911
K Tl
2 10
Direct
0.000 0.000 0.000
0.500 0.500 0.000
0.000 0.173 0.500
0.000 0.326 0.000
0.000 0.500 0.500
0.000 0.674 0.000
0.000 0.827 0.500
0.500 0.000 0.500
0.500 0.174 0.000
0.500 0.327 0.500
0.500 0.673 0.500
0.500 0.826 0.000
```

=====

Run ii
VASP calculation (GGA-PBEsol) on a relaxed KTl5 crystal.

Structure (POSCAR):
```
KTl5
1.0
3.967 0.000 0.000
0.000 3.967 0.000
0.000 0.000 11.449
K Tl
1 5
Direct
0.000 0.000 0.000
0.000 0.000 0.347
0.000 0.000 0.653
0.500 0.500 0.200
0.500 0.500 0.500
0.500 0.500 0.800
```

=====

Run iii
VASP calculation (GGA-PBEsol) on a relaxed KTl5 crystal.

Structure (POSCAR):
```
KTl5
1.0
6.503 0.000 0.000
-3.251 5.632 0.000
0.000 0.000 5.320
K Tl
1 5
Direct
0.000 0.000 0.000
0.000 0.500 0.500
0.333 0.667 0.000
0.500 0.000 0.500
0.500 0.500 0.500
0.667 0.333 0.000
```

=====

It comes down to run i, which is 1.3 kJ/mol of atoms more stable than the next structure.

=====

Run i
VASP calculation (GGA-PBEsol) on a relaxed KTl5 crystal.

Structure (POSCAR):
```
KTl5
1.0
12.960 0.000 0.000
0.000 3.743 0.000
-2.244 0.000 7.354
K Tl
2 10
Direct
0.000 0.000 0.000
0.500 0.500 0.000
0.000 0.000 0.500
0.167 0.500 0.356
0.182 0.500 0.819
0.318 0.000 0.181
0.333 0.000 0.644
0.500 0.500 0.500
0.667 0.000 0.356
0.682 0.000 0.819
0.818 0.500 0.181
0.833 0.500 0.644
```

=====

Run ii
VASP calculation (GGA-PBEsol) on a relaxed KTl5 crystal.

Structure (POSCAR):
```
KTl5
1.0
0.000 4.515 4.515
4.515 0.000 4.515
4.515 4.515 0.000
K Tl
1 5
Direct
0.000 0.000 0.000
0.127 0.624 0.624
0.250 0.250 0.250
0.624 0.127 0.624
0.624 0.624 0.127
0.624 0.624 0.624
```

=====

It comes down to run i, which is 2.4 kJ/mol of atoms more stable than the next structure.